DFT (GGA+U) results for a relaxed structure of V3FeO.

```
data_V3FeO
_cell_length_a 4.0442
_cell_length_b 4.0442
_cell_length_c 4.0442
_cell_angle_alpha 90.00
_cell_angle_beta 90.00
_cell_angle_gamma 90.00
_symmetry_space_group_name_H-M 'P 1'
_symmetry_Int_Tables_number 1
_symmetry_space_group_name_Hall 'P 1'
loop_
_atom_site_label
_atom_site_fract_x
_atom_site_fract_y
_atom_site_fract_z
V1 0.0000 0.0000 0.5000
V2 0.0000 0.5000 0.0000
V3 0.5000 0.0000 0.0000
Fe1 0.5000 0.5000 0.5000
O1 0.0000 0.0000 0.0000
```

Uncorrected energy   -0.449 Ry per atom
Space-group type   Pm-3m, No. 221
D(E_F)   2.8 states/eV/cell